A relaxed BaAgP2 crystal, computed with PBE-GGA.

a b c (Å): 3.517 3.517 7.398
angles (deg): 90.00 90.00 90.00
Positions (direct):
P 0.500 0.500 0.195
P 0.000 0.000 0.094
Ag 0.000 0.000 0.446
Ba 0.500 0.500 0.766

Results
* magnetic moment: 0.0 μB per cell
* SG: P4mm
* energy relative to the elements: 0.05 eV/atom
* polymorph energy (0 for the lowest one): 533 meV per atom
* energy: -3.85 eV/atom